[1]
Computed, not measured: an optimized crystal structure of YH2I3 at the PBE-GGA level of DFT.

Computed properties:
Magnetization ... 0.000 μB/atom
Calculated total energy ... -3.904 eV/atom

a b c (Å): 7.5974 7.8506 8.2751
angles (deg): 92.99 109.38 94.59
Atoms (fractional coordinates):
Y 0.0000 0.0000 0.0000
Y 0.5000 0.0000 0.0000
H 0.1444 0.5450 0.4259
H 0.2388 0.5504 0.4952
H 0.7612 0.4496 0.5048
H 0.8556 0.4550 0.5741
I 0.1701 0.1468 0.7443
I 0.2190 0.6938 0.9828
I 0.3624 0.1598 0.2745
I 0.6376 0.8402 0.7255
I 0.7810 0.3062 0.0172
I 0.8299 0.8532 0.2557

=====

[2]
Computed, not measured: an optimized crystal structure of CsHfGa2I8 at the PBE-GGA level of DFT.

Computed properties:
Magnetization ... 0.000 μB/atom
Raw formation energy ... -0.71 eV per atom

a b c (Å): 6.7812 7.5890 10.8616
angles (deg): 90.03 90.10 92.12
Atoms (fractional coordinates):
Cs 0.0000 0.0000 0.0000
Hf 0.0000 0.0000 0.5000
Ga 0.4993 0.5001 0.7209
Ga 0.5007 0.4999 0.2791
I 0.2369 0.8549 0.3124
I 0.2383 0.8563 0.6880
I 0.2390 0.3215 0.4995
I 0.2492 0.4920 0.9999
I 0.7508 0.5080 0.0001
I 0.7610 0.6785 0.5005
I 0.7617 0.1437 0.3120
I 0.7631 0.1451 0.6876

=====

[3]
Computed, not measured: an optimized crystal structure of ZrAl2Hg at the PBE-GGA level of DFT.

Computed properties:
Magnetization ... 0.000 μB/atom
Energy of formation from the pure elements ... -0.52 eV per formula unit

a b c (Å): 5.5019 5.5019 5.5019
angles (deg): 136.03 136.03 63.93
Atoms (fractional coordinates):
Zr 0.0000 0.0000 0.0000
Al 0.2500 0.7500 0.5000
Al 0.7500 0.2500 0.5000
Hg 0.5000 0.5000 0.0000

=====

[4]
Computed, not measured: an optimized crystal structure of Dy3B at the PBE-GGA level of DFT.

Computed properties:
Magnetization ... 0.000 μB/atom
Energy of formation from the pure elements ... 0.42 eV per formula unit

a b c (Å): 6.0735 6.0735 6.0735
angles (deg): 145.81 67.82 123.38
Atoms (fractional coordinates):
Dy 0.0000 0.0000 0.0000
Dy 0.3647 0.5403 0.8244
Dy 0.7159 0.5403 0.1756
B 0.6822 0.1822 0.5000

=====

[5]
Computed, not measured: an optimized crystal structure of RbHfN3 at the PBE-GGA level of DFT.

Computed properties:
Magnetization ... 0.750 μB/atom
Raw formation energy ... 0.30 eV per atom

a b c (Å): 4.3321 4.3321 4.3321
angles (deg): 90.00 90.00 90.00
Atoms (fractional coordinates):
Rb 0.0000 0.0000 0.0000
Hf 0.5000 0.5000 0.5000
N 0.0000 0.5000 0.5000
N 0.5000 0.0000 0.5000
N 0.5000 0.5000 0.0000

=====

[6]
Computed, not measured: an optimized crystal structure of ReSi2Br2 at the PBE-GGA level of DFT.

Computed properties:
Magnetization ... 0.000 μB/atom
Relative energy among the computed polymorphs ... 0.0 kJ/mol of formula units
Raw formation energy ... 0.67 eV per atom

a b c (Å): 6.7784 6.7784 5.1986
angles (deg): 90.00 90.00 90.00
Atoms (fractional coordinates):
Re 0.0000 0.0000 0.0000
Re 0.5000 0.5000 0.0000
Si 0.2448 0.2552 0.0000
Si 0.2552 0.7552 0.0000
Si 0.7448 0.2448 0.0000
Si 0.7552 0.7448 0.0000
Br 0.2086 0.2914 0.5000
Br 0.2914 0.7914 0.5000
Br 0.7086 0.2086 0.5000
Br 0.7914 0.7086 0.5000

=====

[7]
Computed, not measured: an optimized crystal structure of Y4ZnCu2Au at the PBE-GGA level of DFT.

Computed properties:
Magnetization ... 0.000 μB/atom
Energy of formation from the pure elements ... -3.38 eV per formula unit

a b c (Å): 8.7217 8.7217 8.7217
angles (deg): 33.33 33.33 33.33
Atoms (fractional coordinates):
Y 0.1248 0.1248 0.1248
Y 0.3752 0.3752 0.3752
Y 0.6248 0.6248 0.6248
Y 0.8752 0.8752 0.8752
Zn 0.0000 0.0000 0.0000
Cu 0.2551 0.2551 0.2551
Cu 0.7449 0.7449 0.7449
Au 0.5000 0.5000 0.5000

=====

[8]
Computed, not measured: an optimized crystal structure of Zn5Sb3 at the PBE-GGA level of DFT.

Computed properties:
Magnetization ... 0.000 μB/atom
Relative energy among the computed polymorphs ... 54.1 kJ/mol of formula units
Raw formation energy ... 0.16 eV per atom

a b c (Å): 8.9994 8.9994 4.8720
angles (deg): 90.00 90.00 120.00
Atoms (fractional coordinates):
Zn 0.0000 0.1775 0.2500
Zn 0.0000 0.8225 0.7500
Zn 0.1775 0.0000 0.2500
Zn 0.1775 0.1775 0.7500
Zn 0.3333 0.6667 0.0000
Zn 0.3333 0.6667 0.5000
Zn 0.6667 0.3333 0.0000
Zn 0.6667 0.3333 0.5000
Zn 0.8225 0.0000 0.7500
Zn 0.8225 0.8225 0.2500
Sb 0.0000 0.3721 0.7500
Sb 0.0000 0.6279 0.2500
Sb 0.3721 0.0000 0.7500
Sb 0.3721 0.3721 0.2500
Sb 0.6279 0.0000 0.2500
Sb 0.6279 0.6279 0.7500

=====

[9]
Computed, not measured: an optimized crystal structure of CuRhW3 at the PBE-GGA level of DFT.

Computed properties:
Magnetization ... 0.002 μB/atom
Relative energy among the computed polymorphs ... 166.0 kJ/mol of formula units
Energy of formation from the pure elements ... 10.83 eV per formula unit

a b c (Å): 4.6896 4.6896 4.6896
angles (deg): 90.00 90.00 90.00
Atoms (fractional coordinates):
Cu 0.0000 0.0000 0.0000
Rh 0.5000 0.5000 0.5000
W 0.0000 0.5000 0.5000
W 0.5000 0.0000 0.5000
W 0.5000 0.5000 0.0000

=====

[10]
Computed, not measured: an optimized crystal structure of SrBrCl2 at the PBE-GGA level of DFT.

Computed properties:
Magnetization ... 0.260 μB/atom
Relative energy among the computed polymorphs ... 53.2 kJ/mol of formula units
Raw formation energy ... -1.50 eV per atom

a b c (Å): 6.4872 6.4872 6.4872
angles (deg): 141.52 130.08 64.74
Atoms (fractional coordinates):
Sr 0.0000 0.0000 0.0000
Br 0.5000 0.5000 0.0000
Cl 0.1772 0.6772 0.5000
Cl 0.8228 0.3228 0.5000

=====

[11]
Computed, not measured: an optimized crystal structure of TiMn2Cu at the PBE-GGA level of DFT.

Computed properties:
Magnetization ... 1.253 μB/atom
Energy of formation from the pure elements ... 1.71 eV per formula unit

a b c (Å): 5.3983 5.3983 5.3983
angles (deg): 103.61 103.61 121.95
Atoms (fractional coordinates):
Ti 0.0000 0.0000 0.0000
Ti 0.7500 0.2500 0.5000
Mn 0.1379 0.6250 0.0129
Mn 0.3750 0.3879 0.5129
Mn 0.6121 0.1250 0.9871
Mn 0.8750 0.8621 0.4871
Cu 0.2500 0.7500 0.5000
Cu 0.5000 0.5000 0.0000

=====

[12]
Computed, not measured: an optimized crystal structure of Pr4Ir2I at the PBE-GGA level of DFT.

Computed properties:
Magnetization ... 0.000 μB/atom
Raw formation energy ... -0.74 eV per atom

a b c (Å): 14.7900 14.7900 14.7900
angles (deg): 16.58 16.58 16.58
Atoms (fractional coordinates):
Pr 0.1265 0.1265 0.1265
Pr 0.2744 0.2744 0.2744
Pr 0.7256 0.7256 0.7256
Pr 0.8735 0.8735 0.8735
Ir 0.4266 0.4266 0.4266
Ir 0.5734 0.5734 0.5734
I 0.0000 0.0000 0.0000